No. 1
Pr4Dy3YS8, relaxed, DFT PBE-GGA; crystal system = trigonal; symmetry = No. 166; formation energy from raw total energies = -2.012 eV per atom
1.0
3.9694 2.2917 6.6791
-3.9694 2.2917 6.6791
0.0000 -4.5834 6.6791
Pr Dy Y S
4 3 1 8
Direct
0.0000 0.0000 0.0000
0.0000 0.5000 0.5000
0.5000 0.0000 0.5000
0.5000 0.5000 0.0000
0.0000 0.0000 0.5000
0.0000 0.5000 0.0000
0.5000 0.0000 0.0000
0.5000 0.5000 0.5000
0.2433 0.2433 0.2433
0.2429 0.7437 0.7437
0.2563 0.2563 0.7571
0.2563 0.7571 0.2563
0.7437 0.2429 0.7437
0.7437 0.7437 0.2429
0.7571 0.2563 0.2563
0.7567 0.7567 0.7567


No. 2
LiSn2Te4Pb, relaxed, DFT PBE-GGA; crystal system = monoclinic; symmetry = No. 10; formation energy from raw total energies = -0.403 eV per atom
1.0
7.6609 0.0000 0.0000
0.0000 4.4129 0.0000
-2.5028 0.0000 7.3914
Li Sn Te Pb
1 2 4 1
Direct
0.0000 0.0000 0.0000
0.0000 0.5000 0.5000
0.5000 0.0000 0.5000
0.2362 0.0000 0.7475
0.2400 0.5000 0.2486
0.7600 0.5000 0.7514
0.7638 0.0000 0.2525
0.5000 0.5000 0.0000


No. 3
La4NdEr2Sc, relaxed, DFT PBE-GGA; crystal system = orthorhombic; E_form = 0.088 eV/atom; symmetry = No. 47
1.0
5.9103 0.0000 0.0000
0.0000 5.9107 0.0000
0.0000 0.0000 7.7098
La Nd Er Sc
4 1 2 1
Direct
0.0000 0.0000 0.2464
0.0000 0.0000 0.7536
0.5000 0.5000 0.2485
0.5000 0.5000 0.7515
0.0000 0.5000 0.0000
0.0000 0.5000 0.5000
0.5000 0.0000 0.5000
0.5000 0.0000 0.0000


No. 4
Ac3CuSi, relaxed, DFT PBE-GGA; crystal system = triclinic; symmetry = No. 2; formation energy from raw total energies = -0.232 eV per atom
1.0
4.3482 0.0000 0.0000
2.1379 8.2326 0.0000
0.0277 0.1540 8.9749
Ac Cu Si
6 2 2
Direct
0.0460 0.4088 0.1770
0.2432 0.0140 0.8217
0.3881 0.7110 0.4264
0.6119 0.2890 0.5736
0.7568 0.9860 0.1783
0.9540 0.5912 0.8230
0.2164 0.0718 0.4455
0.7836 0.9282 0.5545
0.3904 0.7161 0.0667
0.6096 0.2839 0.9333


No. 5
SrTc2GeN4, relaxed, DFT PBE-GGA; crystal system = tetragonal; symmetry = No. 121; formation energy from raw total energies = 0.026 eV per atom
1.0
-2.7138 2.7138 3.5007
2.7138 -2.7138 3.5007
2.7138 2.7138 -3.5007
Sr Tc Ge N
1 2 1 4
Direct
0.0000 0.0000 0.0000
0.2500 0.7500 0.5000
0.7500 0.2500 0.5000
0.5000 0.5000 0.0000
0.1314 0.5066 0.0000
0.4934 0.4934 0.6248
0.5066 0.1314 0.0000
0.8686 0.8686 0.3752


No. 6
La2Si2Ge, relaxed, DFT PBE-GGA; relative energy among the computed polymorphs = 1.12 eV per formula unit; crystal system = tetragonal; symmetry = No. 139; formation energy from raw total energies = -0.464 eV per atom
1.0
-1.8302 1.8302 9.1142
1.8302 -1.8302 9.1142
1.8302 1.8302 -9.1142
La Si Ge
2 2 1
Direct
0.1090 0.1090 0.0000
0.8910 0.8910 0.0000
0.2500 0.7500 0.5000
0.7500 0.2500 0.5000
0.5000 0.5000 0.0000


No. 7
PaTiAlOs, relaxed, DFT PBE-GGA; crystal system = cubic; E_form = -0.301 eV/atom; symmetry = No. 216
1.0
0.0000 3.2807 3.2807
3.2807 0.0000 3.2807
3.2807 3.2807 0.0000
Pa Ti Al Os
1 1 1 1
Direct
0.0000 0.0000 0.0000
0.2500 0.2500 0.2500
0.5000 0.5000 0.5000
0.7500 0.7500 0.7500


No. 8
CaSc3Al, relaxed, DFT PBE-GGA; relative energy among the computed polymorphs = 4.46 eV per formula unit; crystal system = cubic; E_form = 1.162 eV/atom; symmetry = No. 221
1.0
5.0909 0.0000 0.0000
0.0000 5.0909 0.0000
0.0000 0.0000 5.0909
Ca Sc Al
1 3 1
Direct
0.0000 0.0000 0.0000
0.0000 0.0000 0.5000
0.0000 0.5000 0.0000
0.5000 0.0000 0.0000
0.5000 0.5000 0.5000


No. 9
ZnCr2Pb, relaxed, DFT PBE-GGA; crystal system = orthorhombic; E_form = 0.528 eV/atom; symmetry = No. 65
1.0
3.0108 -3.0159 0.0000
3.0108 3.0159 0.0000
0.0000 0.0000 3.9275
Zn Cr Pb
1 2 1
Direct
0.0000 0.0000 0.0000
0.0000 0.5000 0.5000
0.5000 0.0000 0.5000
0.5000 0.5000 0.0000


No. 10
Sc2Be, relaxed, DFT PBE-GGA; relative energy among the computed polymorphs = 0.19 eV per formula unit; crystal system = monoclinic; E_form = 0.032 eV/atom; symmetry = No. 12
1.0
5.7034 -1.6407 0.0000
5.7034 1.6407 0.0000
-4.6122 0.0000 6.2053
Sc Be
4 2
Direct
0.0926 0.0926 0.3676
0.3377 0.3377 0.9302
0.6623 0.6623 0.0698
0.9074 0.9074 0.6324
0.3929 0.3929 0.3384
0.6071 0.6071 0.6616


No. 11
Te2HSe4, relaxed, DFT PBE-GGA; crystal system = monoclinic; symmetry = No. 12; E_tot = -3.349 eV per atom
1.0
6.9518 -4.0268 0.0000
6.9518 4.0268 0.0000
-3.1740 0.0000 7.2130
Te H Se
4 2 8
Direct
0.0000 0.0000 0.0000
0.0000 0.0000 0.5000
0.0000 0.5000 0.0000
0.5000 0.0000 0.0000
0.3954 0.3954 0.8912
0.6046 0.6046 0.1088
0.2174 0.7217 0.2293
0.2197 0.2197 0.2274
0.2783 0.7826 0.7707
0.2807 0.2807 0.7665
0.7193 0.7193 0.2335
0.7217 0.2174 0.2293
0.7803 0.7803 0.7726
0.7826 0.2783 0.7707


No. 12
Ba2NbIr, relaxed, DFT PBE-GGA; relative energy among the computed polymorphs = 1.78 eV per formula unit; crystal system = cubic; E_form = 0.940 eV/atom; symmetry = No. 225
1.0
0.0000 3.9184 3.9184
3.9184 0.0000 3.9184
3.9184 3.9184 0.0000
Ba Nb Ir
2 1 1
Direct
0.2500 0.2500 0.2500
0.7500 0.7500 0.7500
0.0000 0.0000 0.0000
0.5000 0.5000 0.5000


No. 13
Sb2AsRu, relaxed, DFT PBE-GGA; crystal system = monoclinic; symmetry = No. 12; formation energy from raw total energies = 0.392 eV per atom
1.0
3.1791 -3.8550 0.0000
3.1791 3.8550 0.0000
-0.6404 0.0000 3.3031
Sb As Ru
2 1 1
Direct
0.0000 0.5000 0.0000
0.5000 0.0000 0.0000
0.0000 0.0000 0.5000
0.5000 0.5000 0.5000